Record 1
SrCo2AgBr at its PBEsol-relaxed geometry, computed with SCAN.

Structure (CIF):
```
data_SrCo2AgBr
_chemical_formula_sum 'Sr1 Co2 Ag1 Br1'
_cell_length_a 4.425
_cell_length_b 4.425
_cell_length_c 5.185
_cell_angle_alpha 90.00
_cell_angle_beta 90.00
_cell_angle_gamma 90.00
_symmetry_space_group_name_H-M 'P 4/m m m'
_symmetry_Int_Tables_number 123
_symmetry_space_group_name_Hall '-P 4 2'
loop_
_atom_site_label
_atom_site_type_symbol
_atom_site_fract_x
_atom_site_fract_y
_atom_site_fract_z
Sr1 Sr 0.000 0.000 0.000
Co1 Co 0.000 0.500 0.500
Ag1 Ag 0.500 0.500 0.000
Br1 Br 0.500 0.500 0.500
```

## Properties
uncorrected formation energy	0.795	eV per atom
density of states at the Fermi level	0.47	states/eV/atom

---

Record 2
CrAgIr2Br at its PBEsol-relaxed geometry, computed with SCAN.

Structure (CIF):
```
data_CrAgIr2Br
_chemical_formula_sum 'Cr1 Ag1 Ir2 Br1'
_cell_length_a 4.591
_cell_length_b 4.591
_cell_length_c 4.727
_cell_angle_alpha 90.00
_cell_angle_beta 90.00
_cell_angle_gamma 90.00
_symmetry_space_group_name_H-M 'P 4/m m m'
_symmetry_Int_Tables_number 123
_symmetry_space_group_name_Hall '-P 4 2'
loop_
_atom_site_label
_atom_site_type_symbol
_atom_site_fract_x
_atom_site_fract_y
_atom_site_fract_z
Cr1 Cr 0.000 0.000 0.000
Ag1 Ag 0.500 0.500 0.000
Ir1 Ir 0.000 0.500 0.500
Br1 Br 0.500 0.500 0.500
```

## Properties
uncorrected formation energy	1.690	eV per atom
density of states at the Fermi level	0.78	states/eV/atom

---

Record 3
CrAg2PBr at its PBEsol-relaxed geometry, computed with SCAN.

Structure (CIF):
```
data_CrAg2PBr
_chemical_formula_sum 'Cr1 Ag2 P1 Br1'
_cell_length_a 4.744
_cell_length_b 4.744
_cell_length_c 4.692
_cell_angle_alpha 90.00
_cell_angle_beta 90.00
_cell_angle_gamma 90.00
_symmetry_space_group_name_H-M 'P 4/m m m'
_symmetry_Int_Tables_number 123
_symmetry_space_group_name_Hall '-P 4 2'
loop_
_atom_site_label
_atom_site_type_symbol
_atom_site_fract_x
_atom_site_fract_y
_atom_site_fract_z
Cr1 Cr 0.000 0.000 0.000
Ag1 Ag 0.000 0.500 0.500
P1 P 0.000 0.000 0.500
Br1 Br 0.500 0.500 0.000
```

## Properties
uncorrected formation energy	0.032	eV per atom
density of states at the Fermi level	0.48	states/eV/atom

---

Record 4
Cs2NdAgBr6 at its PBEsol-relaxed geometry, computed with SCAN.

Structure (CIF):
```
data_Cs2NdAgBr6
_chemical_formula_sum 'Cs8 Nd4 Ag4 Br24'
_cell_length_a 11.250
_cell_length_b 11.250
_cell_length_c 11.250
_cell_angle_alpha 90.00
_cell_angle_beta 90.00
_cell_angle_gamma 90.00
_symmetry_space_group_name_H-M 'F m -3 m'
_symmetry_Int_Tables_number 225
_symmetry_space_group_name_Hall '-F 4 2 3'
loop_
_atom_site_label
_atom_site_type_symbol
_atom_site_fract_x
_atom_site_fract_y
_atom_site_fract_z
Cs1 Cs 0.250 0.250 0.250
Nd1 Nd 0.000 0.000 0.000
Ag1 Ag 0.000 0.000 0.500
Br1 Br 0.000 0.000 0.253
```

## Properties
uncorrected formation energy	-1.763	eV per atom
density of states at the Fermi level	0.00	states/eV/atom

---

Record 5
Cs2ReAgBr at its PBEsol-relaxed geometry, computed with SCAN.

Structure (CIF):
```
data_Cs2ReAgBr
_chemical_formula_sum 'Cs2 Re1 Ag1 Br1'
_cell_length_a 6.661
_cell_length_b 6.661
_cell_length_c 5.191
_cell_angle_alpha 90.00
_cell_angle_beta 90.00
_cell_angle_gamma 90.00
_symmetry_space_group_name_H-M 'P 4/m m m'
_symmetry_Int_Tables_number 123
_symmetry_space_group_name_Hall '-P 4 2'
loop_
_atom_site_label
_atom_site_type_symbol
_atom_site_fract_x
_atom_site_fract_y
_atom_site_fract_z
Cs1 Cs 0.000 0.500 0.000
Re1 Re 0.000 0.000 0.500
Ag1 Ag 0.500 0.500 0.500
Br1 Br 0.500 0.500 0.000
```

## Properties
uncorrected formation energy	0.970	eV per atom
density of states at the Fermi level	0.28	states/eV/atom

---

Record 6
CuAgBr2 at its PBEsol-relaxed geometry, computed with SCAN.

Structure (CIF):
```
data_CuAgBr2
_chemical_formula_sum 'Cu3 Ag3 Br6'
_cell_length_a 3.9150
_cell_length_b 3.9150
_cell_length_c 20.5774
_cell_angle_alpha 90.00
_cell_angle_beta 90.00
_cell_angle_gamma 120.00
_symmetry_space_group_name_H-M 'R 3 m'
_symmetry_Int_Tables_number 160
_symmetry_space_group_name_Hall 'R 3 -2"'
loop_
_atom_site_label
_atom_site_type_symbol
_atom_site_fract_x
_atom_site_fract_y
_atom_site_fract_z
Cu1 Cu 0.0000 0.0000 0.0000
Ag1 Ag 0.0000 0.0000 0.2584
Br1 Br 0.0000 0.0000 0.5249
Br2 Br 0.0000 0.0000 0.7089
```

## Properties
uncorrected formation energy	-0.249	eV per atom